# Y4CuPSe2

An optimized crystal structure of Y4CuPSe2 (PBE-GGA, Alexandria).

Values from the calculation:
**Formation energy from raw total energies**: -130 kJ/mol of atoms
**Space-group type**: P2/m

a = 4.0064 Å, b = 7.0271 Å, c = 7.1030 Å
α = 108.60°, β = 90.00°, γ = 90.00°
With the nearest neighbours (Å) after each atom.
Fractional coordinates of all 8 atoms:
Y1 0.5000 0.2505 0.2405  1 P 2.81, 2 Cu 2.85, 3 Se 2.90-2.93
Y2 0.5000 0.7495 0.7595  1 P 2.81, 2 Cu 2.85, 3 Se 2.90-2.93
Y3 0.0000 0.2606 0.7657  2 P 2.80, 1 Cu 2.84, 3 Se 2.90-2.95
Y4 0.0000 0.7394 0.2343  2 P 2.80, 1 Cu 2.84, 3 Se 2.90-2.95
Cu1 0.0000 0.0000 0.0000  6 Y 2.84-2.85
P1 0.5000 0.5000 0.0000  6 Y 2.80-2.81
Se1 0.5000 0.0000 0.5000  6 Y 2.93-2.95
Se2 0.0000 0.5000 0.5000  6 Y 2.90

---

# Tb3NdAl

An optimized crystal structure of Tb3NdAl (PBE-GGA, Alexandria).

Values from the calculation:
**Space-group type**: C2/m
**Energy above the most stable polymorph in this dataset**: 0 meV per atom

a = 3.6964 Å, b = 8.6650 Å, c = 9.7305 Å
α = 104.15°, β = 100.94°, γ = 89.97°
With the nearest neighbours (Å) after each atom.
Fractional coordinates of all 10 atoms:
Tb1 0.6130 0.9215 0.4831  2 Al 3.14
Tb2 0.2175 0.3031 0.6923  2 Al 3.14
Tb3 0.4152 0.3999 0.0870  4 Al 3.11-3.18, 1 Tb 3.42
Tb4 0.2309 0.7254 0.7192  2 Al 3.12, 3 Tb 3.33-3.42, 2 Nd 3.49
Tb5 0.4153 0.8247 0.0884  4 Al 3.11-3.18, 1 Tb 3.42
Tb6 0.5996 0.4992 0.4561  2 Al 3.12, 3 Tb 3.33-3.42, 2 Nd 3.49
Nd1 0.8141 0.0635 0.8854  9 Tb 3.49-3.73, 3 Nd 3.70-3.74
Nd2 0.0164 0.1612 0.2899  9 Tb 3.49-3.73, 3 Nd 3.70-3.74
Al1 0.0105 0.6698 0.2780  8 Tb 3.11-3.18
Al2 0.8200 0.5548 0.8974  8 Tb 3.11-3.18

---

# Tb3Si4Ru2

An optimized crystal structure of Tb3Si4Ru2 (PBE-GGA, Alexandria).

Values from the calculation:
**Formation energy from raw total energies**: -81 kJ/mol of atoms
**Space-group type**: C2/m

a = 4.1799 Å, b = 5.7501 Å, c = 8.0600 Å
α = 107.32°, β = 90.00°, γ = 111.31°
With the nearest neighbours (Å) after each atom.
Fractional coordinates of all 9 atoms:
Tb1 0.6162 0.2324 0.6969  7 Si 2.91-3.09, 4 Ru 3.06-3.11
Tb2 0.0000 0.0000 0.0000  8 Si 3.07-3.25
Tb3 0.3838 0.7676 0.3031  7 Si 2.91-3.09, 4 Ru 3.06-3.11
Si1 0.7209 0.4417 0.0776  1 Ru 2.40, 2 Si 2.61
Si2 0.2791 0.5583 0.9224  1 Ru 2.40, 2 Si 2.61
Si3 0.8983 0.7966 0.5909  3 Ru 2.36-2.46
Si4 0.1017 0.2034 0.4091  3 Ru 2.36-2.46
Ru1 0.6846 0.3692 0.3564  4 Si 2.36-2.46
Ru2 0.3154 0.6308 0.6436  4 Si 2.36-2.46

---

# La2HgP

An optimized crystal structure of La2HgP (PBE-GGA, Alexandria).

Values from the calculation:
**Space-group type**: F-43m
**Energy above the most stable polymorph in this dataset**: 868 meV per atom

a = 5.2577 Å, b = 5.2577 Å, c = 5.2577 Å
α = 60.00°, β = 60.00°, γ = 60.00°
With the nearest neighbours (Å) after each atom.
Fractional coordinates of all 4 atoms:
Hg1 0.5000 0.5000 0.5000  4 La 3.22, 4 P 3.22
La1 0.0000 0.0000 0.0000  4 La 3.22, 4 P 3.22
La2 0.2500 0.2500 0.2500  4 Hg 3.22, 4 La 3.22
P1 0.7500 0.7500 0.7500  4 La 3.22, 4 Hg 3.22

---

| no. | energy (eV per atom) |
| --- | --- |
| 1 | -6.64 |
| 2 | -4.62 |
| 3 | -6.85 |
| 4 | -4.01 |